[1]
A plane-wave DFT calculation with PBE was carried out for a relaxed structure of YAlMo2.

Lattice parameters (Å, degrees): 7.623 7.623 5.431 90.00 90.00 90.00
Atoms (fractional coordinates):
1 Y 0.000 0.000 0.000
2 Y 0.000 0.500 0.250
3 Y 0.500 0.000 0.750
4 Y 0.500 0.500 0.500
5 Al 0.000 0.000 0.500
6 Al 0.000 0.500 0.750
7 Al 0.500 0.000 0.250
8 Al 0.500 0.500 0.000
9 Mo 0.209 0.250 0.625
10 Mo 0.250 0.709 0.875
11 Mo 0.250 0.791 0.375
12 Mo 0.291 0.250 0.125
13 Mo 0.709 0.750 0.125
14 Mo 0.750 0.209 0.375
15 Mo 0.750 0.291 0.875
16 Mo 0.791 0.750 0.625

Output
total DFT energy (no corrections) = -0.5391 Ry/atom
energy of formation from the pure elements = 0.632 eV per atom

---

[2]
A plane-wave DFT calculation with PBE was carried out for a relaxed structure of AcZnGa2Au.

Lattice parameters (Å, degrees): 4.548 4.548 10.533 90.00 90.00 90.00
Atoms (fractional coordinates):
1 Ac 0.000 0.000 0.000
2 Ac 0.500 0.500 0.500
3 Zn 0.000 0.500 0.750
4 Zn 0.500 0.000 0.250
5 Ga 0.000 0.000 0.379
6 Ga 0.000 0.000 0.621
7 Ga 0.500 0.500 0.121
8 Ga 0.500 0.500 0.879
9 Au 0.000 0.500 0.250
10 Au 0.500 0.000 0.750

Output
total DFT energy (no corrections) = -0.2582 Ry/atom
energy of formation from the pure elements = -0.570 eV per atom

---

[3]
A plane-wave DFT calculation with PBE was carried out for a relaxed structure of TlCl3.

Lattice parameters (Å, degrees): 3.531 3.531 8.682 90.00 90.00 90.00
Atoms (fractional coordinates):
1 Tl 0.000 0.000 0.000
2 Cl 0.000 0.000 0.500
3 Cl 0.500 0.500 0.188
4 Cl 0.500 0.500 0.812

Output
total DFT energy (no corrections) = -0.1541 Ry/atom
raw formation energy = -0.48 eV per formula unit

---

- Which formula does entry 1 have?
  YAlMo2

---

- The highest total DFT energy (no corrections) belongs to which entry?
  TlCl3

---

- total DFT energy (no corrections) of number 1 (YAlMo2)?
  -0.5391 Ry/atom